Here is crystalline ScTcI3 at its relaxed geometry from the Alexandria database. Energies are from PBE.

a = 5.7600 Å, b = 5.7600 Å, c = 5.7600 Å
α = 90.00°, β = 90.00°, γ = 90.00°
Atoms (fractional coordinates):
Sc: 0.0000 0.0000 0.0000
Tc: 0.5000 0.5000 0.5000
I: 0.0000 0.0000 0.5000
I: 0.0000 0.5000 0.0000
I: 0.5000 0.0000 0.0000

Summary:
SG   Pm-3m
ΔE_f (raw)   0.35 eV/atom
Density   4.55 g cm⁻³
M_tot   5.0 μB per cell